NaThInAu | PBE-GGA | relaxed

Values from the calculation:
- Total magnetic moment: 0.000 Bohr magnetons per cell
- Uncorrected energy: -0.2909 Ry per atom
- Calculated volume: 101.4 Å³ per cell
- Symmetry: No. 216

a = 5.235 Å, b = 5.235 Å, c = 5.235 Å
α = 60.00°, β = 60.00°, γ = 60.00°
Element x y z (fractional)
1 Na 0.000 0.000 0.000
2 Au 0.250 0.250 0.250
3 Th 0.500 0.500 0.500
4 In 0.750 0.750 0.750